BeRu3I | PBE | relaxed

Energy relative to the elements, uncorrected   2.094 eV per atom
Energy above the lowest structure with this stoichiometry   6.14 eV/f.u.
Calculated total energy   -22.63 eV per cell

Geometry as POSCAR:
```
BeRu3I
1.0
-0.338 -4.455 -1.652
2.926 1.109 -3.591
3.743 -1.270 2.658
Ru I Be
3 1 1
Cartesian
1.872 -0.635 1.329
-0.169 -2.227 -0.826
1.463 0.555 -1.795
0.000 0.000 0.000
3.165 -2.308 -1.292
```